Entry 1:
Material: Hg2TeSe
Method: DFT, PBE
State: optimized geometry

Unit cell a=7.504 b=7.504 c=7.504 alpha=147.59 beta=148.74 gamma=45.65
Fractional coordinates of all 4 atoms:
Hg  0.968  0.968  0.000
Hg  0.532  0.532  0.000
Se  0.750  0.250  0.500
Te  0.250  0.750  0.500

Values from the calculation:
**Total energy**: -1.73 eV per atom
**Formation energy (no corrections)**: 73 meV/atom
**Symmetry**: Immm, No. 71
**V**: 29.28 A^3/atom

Entry 2:
Material: HgTeSe2
Method: DFT, PBE
State: optimized geometry

Unit cell a=7.314 b=7.314 c=7.314 alpha=33.14 beta=33.14 gamma=33.14
Fractional coordinates of all 4 atoms:
Hg  0.742  0.742  0.742
Se  0.001  0.001  0.001
Se  0.250  0.250  0.250
Te  0.507  0.507  0.507

Values from the calculation:
**Total energy**: -2.52 eV per atom
**Formation energy (no corrections)**: 79 meV/atom
**Symmetry**: R3m, No. 160
**V**: 26.02 A^3/atom

Entry 3:
Material: Hg2TeSe
Method: DFT, PBE
State: optimized geometry

Unit cell a=2.956 b=2.956 c=13.517 alpha=90.00 beta=90.00 gamma=90.35
Fractional coordinates of all 4 atoms:
Hg  0.000  0.000  0.020
Hg  0.000  0.000  0.480
Se  0.500  0.500  0.250
Te  0.500  0.500  0.750

Values from the calculation:
**Total energy**: -1.67 eV per atom
**Formation energy (no corrections)**: 136 meV/atom
**Symmetry**: Cmmm, No. 65
**V**: 29.52 A^3/atom

Entry 4:
Material: HgTeSe2
Method: DFT, PBE
State: optimized geometry

Unit cell a=5.145 b=5.145 c=5.083 alpha=69.47 beta=69.47 gamma=107.32
Fractional coordinates of all 4 atoms:
Hg  0.000  0.500  0.500
Se  0.000  0.000  0.000
Se  0.500  0.500  0.000
Te  0.500  0.000  0.500

Values from the calculation:
**Total energy**: -2.58 eV per atom
**Formation energy (no corrections)**: 25 meV/atom
**Symmetry**: C2/m, No. 12
**V**: 25.88 A^3/atom

Among the records above, which one has the highest formation energy (no corrections)?
number 3

total energy of number 2 (HgTeSe2)?
-2.52 eV per atom